[1]
DFT (SCAN) results for a crystal of NaBe2Se relaxed with PBEsol.

Output
mass density	2.9	Mg/m³
energy relative to the elements, uncorrected	0.2835	eV/atom

```
data_NaBe2Se
_chemical_formula_sum 'Na4 Be8 Se4'
_cell_length_a 7.199
_cell_length_b 7.199
_cell_length_c 5.312
_cell_angle_alpha 90.00
_cell_angle_beta 90.00
_cell_angle_gamma 90.00
_symmetry_space_group_name_H-M 'I -4 2 d'
_symmetry_Int_Tables_number 122
_symmetry_space_group_name_Hall 'I -4 2bw'
loop_
_atom_site_label
_atom_site_fract_x
_atom_site_fract_y
_atom_site_fract_z
Na1 0.000 0.000 0.000
Be1 0.175 0.250 0.625
Se1 0.000 0.000 0.500
```

=====

[2]
DFT (SCAN) results for a crystal of ZnAgHg2 relaxed with PBEsol.

Output
mass density	12.8	Mg/m³
ΔE_f	0.109	eV/atom

```
data_ZnAgHg2
_chemical_formula_sum 'Zn1 Ag1 Hg2'
_cell_length_a 3.405
_cell_length_b 3.761
_cell_length_c 5.831
_cell_angle_alpha 90.00
_cell_angle_beta 90.00
_cell_angle_gamma 90.00
_symmetry_space_group_name_H-M 'P m m 2'
_symmetry_Int_Tables_number 25
loop_
_symmetry_equiv_pos_as_xyz
'x,y,z'
'-x,-y,z'
'-x,y,z'
'x,-y,z'
loop_
_atom_site_label
_atom_site_fract_x
_atom_site_fract_y
_atom_site_fract_z
Zn1 0.000 0.000 0.000
Ag1 0.500 0.500 0.231
Hg1 0.000 0.000 0.476
Hg2 0.500 0.500 0.756
```

=====

[3]
DFT (SCAN) results for a crystal of IrRu relaxed with PBEsol.

Output
mass density	17.2	Mg/m³
ΔE_f	0.579	eV/atom

```
data_IrRu
_chemical_formula_sum 'Ir1 Ru1'
_cell_length_a 3.048
_cell_length_b 3.048
_cell_length_c 3.048
_cell_angle_alpha 90.00
_cell_angle_beta 90.00
_cell_angle_gamma 90.00
_symmetry_space_group_name_H-M 'P m -3 m'
_symmetry_Int_Tables_number 221
_symmetry_space_group_name_Hall '-P 4 2 3'
loop_
_atom_site_label
_atom_site_fract_x
_atom_site_fract_y
_atom_site_fract_z
Ir1 0.000 0.000 0.000
Ru1 0.500 0.500 0.500
```